Computed, not measured: a relaxed structure of GdAsPb2 at the PBE level of DFT.

POSCAR file:
```
GdAsPb2
1.0
1.886 1.089 10.278
-1.886 1.089 10.278
0.000 -2.178 10.278
Gd As Pb
1 1 2
direct
0.000 0.000 0.000
0.500 0.500 0.500
0.103 0.103 0.103
0.897 0.897 0.897
```

Calculated values
size of the total moment = 7.49 μB per cell
formation enthalpy at 0 K = 15 kJ/mol of atoms


Computed, not measured: a relaxed structure of Ho7Tm3Th2 at the PBE level of DFT.

POSCAR file:
```
Ho7Tm3Th2
1.0
3.605 0.000 0.000
0.000 5.525 0.000
-1.833 0.000 20.381
Ho Tm Th
7 3 2
direct
0.000 0.000 0.000
0.067 0.500 0.130
0.287 0.500 0.572
0.414 0.000 0.832
0.586 0.000 0.168
0.713 0.500 0.428
0.933 0.500 0.870
0.171 0.000 0.339
0.500 0.500 0.000
0.829 0.000 0.661
0.360 0.500 0.725
0.640 0.500 0.275
```

Calculated values
size of the total moment = 0.00 μB per cell
formation enthalpy at 0 K = 26 kJ/mol of atoms
relative energy among the computed polymorphs = 147 meV/atom


Computed, not measured: a relaxed structure of Pa2Co2Ge3 at the PBE level of DFT.

POSCAR file:
```
Pa2Co2Ge3
1.0
3.768 0.000 0.000
0.000 3.498 0.000
-1.883 0.000 10.762
Pa Co Ge
2 2 3
direct
0.093 0.000 0.186
0.907 0.000 0.814
0.391 0.500 0.781
0.609 0.500 0.219
0.285 0.500 0.570
0.500 0.500 0.000
0.715 0.500 0.430
```

Calculated values
size of the total moment = 0.00 μB per cell
formation enthalpy at 0 K = -23 kJ/mol of atoms
relative energy among the computed polymorphs = 278 meV/atom


Which value of size of the total moment does entry 1 give?
7.49 μB per cell